(1)
The following is a DFT calculation (GGA-PBE) of a relaxed Ta6TiNb8 crystal.

Output
Its energy relative to the elements is 0.288 eV per atom. As for the space group: P-3. The calculation puts the total energy at -10.35 eV/atom.

Lattice parameters (Å, degrees): 5.5739 7.6852 7.6852 120.00 90.00 90.00
Last column: nearest neighbours and their distance in Å.
Sites, in units of the cell vectors:
1 Ta 0.6275 0.6730 0.1022  2 Nb 2.64-2.87, 1 Ta 2.72
2 Ta 0.6275 0.8978 0.5708  2 Nb 2.64-2.87, 1 Ta 2.72
3 Ta 0.6275 0.4292 0.3270  2 Nb 2.64-2.87, 1 Ta 2.72
4 Ta 0.3725 0.3270 0.8978  2 Nb 2.64-2.87, 1 Ta 2.72
5 Ta 0.3725 0.1022 0.4292  2 Nb 2.64-2.87, 1 Ta 2.72
6 Ta 0.3725 0.5708 0.6730  2 Nb 2.64-2.87, 1 Ta 2.72
7 Ti 0.5000 0.0000 0.0000  6 Nb 2.99, 6 Ta 3.07
8 Nb 0.8610 0.0167 0.2953  2 Ta 2.64-2.87, 3 Nb 2.67-2.70
9 Nb 0.8610 0.7047 0.7214  2 Ta 2.64-2.87, 3 Nb 2.67-2.70
10 Nb 0.8610 0.2786 0.9833  2 Ta 2.64-2.87, 3 Nb 2.67-2.70
11 Nb 0.1390 0.9833 0.7047  2 Ta 2.64-2.87, 3 Nb 2.67-2.70
12 Nb 0.1390 0.2953 0.2786  2 Ta 2.64-2.87, 3 Nb 2.67-2.70
13 Nb 0.1390 0.7214 0.0167  2 Ta 2.64-2.87, 3 Nb 2.67-2.70
14 Nb 0.8555 0.3333 0.6667  3 Nb 2.67
15 Nb 0.1445 0.6667 0.3333  3 Nb 2.67

(2)
The following is a DFT calculation (GGA-PBE) of a relaxed Ta4Ti3Nb4 crystal.

Output
Its energy relative to the elements is 0.014 eV per atom. As for the space group: C2/m. The calculation puts the total energy at -10.11 eV/atom.

Lattice parameters (Å, degrees): 2.8692 4.6453 19.4680 83.15 50.24 90.00
Last column: nearest neighbours and their distance in Å.
Sites, in units of the cell vectors:
1 Ta 0.6103 0.7267 0.5466  3 Nb 2.82-2.87, 4 Ta 2.87-2.91, 1 Ti 2.90
2 Ta 0.5850 0.9093 0.1814  3 Nb 2.80-2.81, 2 Ta 2.87, 3 Ti 2.89-2.92
3 Ta 0.4150 0.0907 0.8186  3 Nb 2.80-2.81, 2 Ta 2.87, 3 Ti 2.89-2.92
4 Ta 0.3897 0.2733 0.4534  3 Nb 2.82-2.87, 4 Ta 2.87-2.91, 1 Ti 2.90
5 Ti 0.2085 0.6360 0.7281  3 Nb 2.83-2.85, 2 Ti 2.87, 3 Ta 2.90-2.92
6 Ti 0.7915 0.3640 0.2719  3 Nb 2.83-2.85, 2 Ti 2.87, 3 Ta 2.90-2.92
7 Ti 0.0000 0.0000 0.0000  4 Nb 2.86, 2 Ti 2.87, 2 Ta 2.89
8 Nb 0.9142 0.1815 0.6370  4 Ta 2.81-2.87, 2 Ti 2.83, 2 Nb 2.87
9 Nb 0.7454 0.5450 0.9099  3 Nb 2.79-2.87, 2 Ta 2.80, 3 Ti 2.85-2.86
10 Nb 0.2546 0.4550 0.0901  3 Nb 2.79-2.87, 2 Ta 2.80, 3 Ti 2.85-2.86
11 Nb 0.0858 0.8185 0.3630  4 Ta 2.81-2.87, 2 Ti 2.83, 2 Nb 2.87

(3)
The following is a DFT calculation (GGA-PBE) of a relaxed TaTi2Nb4 crystal.

Output
Its energy relative to the elements is 0.106 eV per atom. As for the space group: P2/m. The calculation puts the total energy at -9.60 eV/atom.

Lattice parameters (Å, degrees): 3.4151 3.1869 11.8222 89.99 98.24 90.00
Last column: nearest neighbours and their distance in Å.
Sites, in units of the cell vectors:
1 Ta 0.5000 0.0000 0.0000  8 Nb 2.88, 2 Ta 3.19
2 Ti 0.7932 0.5001 0.5864  2 Ti 2.64-2.65, 4 Nb 2.77
3 Ti 0.2068 0.4999 0.4136  2 Ti 2.64-2.65, 4 Nb 2.77
4 Nb 0.9272 0.5000 0.8559  6 Nb 2.87-3.19, 4 Ta 2.88, 1 Ti 3.15
5 Nb 0.6432 0.0000 0.2861  4 Ti 2.77, 4 Nb 2.87
6 Nb 0.0728 0.5000 0.1441  6 Nb 2.87-3.19, 4 Ta 2.88, 1 Ti 3.15
7 Nb 0.3568 0.0000 0.7139  4 Ti 2.77, 4 Nb 2.87

(4)
The following is a DFT calculation (GGA-PBE) of a relaxed Ta6TiNb crystal.

Output
Its energy relative to the elements is 0.181 eV per atom. As for the space group: R-3m. The calculation puts the total energy at -10.95 eV/atom.

Lattice parameters (Å, degrees): 5.8415 5.8415 5.8415 110.49 110.49 110.49
Last column: nearest neighbours and their distance in Å.
Sites, in units of the cell vectors:
1 Ta 0.2494 0.7502 0.2494  6 Ta 2.77-2.93, 1 Ti 2.80, 1 Nb 2.81
2 Ta 0.2494 0.2494 0.7502  6 Ta 2.77-2.93, 1 Ti 2.80, 1 Nb 2.81
3 Ta 0.7506 0.2498 0.7506  6 Ta 2.77-2.93, 1 Ti 2.80, 1 Nb 2.81
4 Ta 0.2498 0.7506 0.7506  6 Ta 2.77-2.93, 1 Ti 2.80, 1 Nb 2.81
5 Ta 0.7506 0.7506 0.2498  6 Ta 2.77-2.93, 1 Ti 2.80, 1 Nb 2.81
6 Ta 0.7502 0.2494 0.2494  6 Ta 2.77-2.93, 1 Ti 2.80, 1 Nb 2.81
7 Ti 0.0000 0.0000 0.0000  2 Nb 2.77, 6 Ta 2.80
8 Nb 0.5000 0.5000 0.5000  2 Ti 2.77, 6 Ta 2.81

(5)
The following is a DFT calculation (GGA-PBE) of a relaxed Ta4TiNb4 crystal.

Output
Its energy relative to the elements is 0.007 eV per atom. As for the space group: I4/mmm. The calculation puts the total energy at -10.61 eV/atom.

Lattice parameters (Å, degrees): 7.2072 7.2072 7.2072 93.02 93.02 153.46
Last column: nearest neighbours and their distance in Å.
Sites, in units of the cell vectors:
1 Ta 0.8333 0.8334 0.6667  4 Nb 2.85-2.86, 2 Ti 2.86, 2 Ta 2.86
2 Ta 0.1667 0.1666 0.3333  4 Nb 2.85-2.86, 2 Ti 2.86, 2 Ta 2.86
3 Ta 0.1666 0.8333 0.9999  4 Nb 2.85-2.86, 2 Ti 2.86, 2 Ta 2.86
4 Ta 0.8334 0.1667 0.0001  4 Nb 2.85-2.86, 2 Ti 2.86, 2 Ta 2.86
5 Ti 0.5000 0.5000 0.0000  8 Ta 2.86
6 Nb 0.4999 0.1683 0.6683  4 Ta 2.85-2.86, 4 Nb 2.88
7 Nb 0.5001 0.8317 0.3317  4 Ta 2.85-2.86, 4 Nb 2.88
8 Nb 0.8317 0.4999 0.3316  4 Ta 2.85-2.86, 4 Nb 2.88
9 Nb 0.1683 0.5001 0.6684  4 Ta 2.85-2.86, 4 Nb 2.88

(6)
The following is a DFT calculation (GGA-PBE) of a relaxed TaTi3Nb crystal.

Output
Its energy relative to the elements is 1.164 eV per atom. As for the space group: Pm-3m. The calculation puts the total energy at -7.96 eV/atom.

Lattice parameters (Å, degrees): 4.7221 4.7221 4.7221 90.00 90.00 90.00
Last column: nearest neighbours and their distance in Å.
Sites, in units of the cell vectors:
1 Nb 0.5000 0.5000 0.5000  12 Ti 3.34
2 Ti 0.0000 0.5000 0.0000  2 Ta 2.36
3 Ti 0.0000 0.0000 0.5000  2 Ta 2.36
4 Ti 0.5000 0.0000 0.0000  2 Ta 2.36
5 Ta 0.0000 0.0000 0.0000  6 Ti 2.36

(7)
The following is a DFT calculation (GGA-PBE) of a relaxed Ta3Ti2Nb2 crystal.

Output
Its energy relative to the elements is 0.024 eV per atom. As for the space group: P-1. The calculation puts the total energy at -10.19 eV/atom.

Lattice parameters (Å, degrees): 2.8529 5.4577 9.9324 72.11 78.26 58.61
Last column: nearest neighbours and their distance in Å.
Sites, in units of the cell vectors:
1 Ta 0.0000 0.5000 0.5000  4 Nb 2.84-2.85, 2 Ta 2.85, 2 Ti 2.93
2 Ta 0.5967 0.2131 0.0736  1 Nb 2.82, 4 Ta 2.82-2.85, 3 Ti 2.86-2.89
3 Ta 0.4033 0.7869 0.9264  1 Nb 2.82, 4 Ta 2.82-2.85, 3 Ti 2.86-2.89
4 Ti 0.6842 0.6432 0.2117  2 Nb 2.83-2.84, 2 Ti 2.85, 4 Ta 2.86-2.93
5 Ti 0.3158 0.3568 0.7883  2 Nb 2.83-2.84, 2 Ti 2.85, 4 Ta 2.86-2.93
6 Nb 0.8541 0.0713 0.3567  3 Ta 2.82-2.85, 2 Ti 2.83-2.84, 3 Nb 2.85-2.89
7 Nb 0.1459 0.9287 0.6433  3 Ta 2.82-2.85, 2 Ti 2.83-2.84, 3 Nb 2.85-2.89

(8)
The following is a DFT calculation (GGA-PBE) of a relaxed Ta3TiNb2 crystal.

Output
Its energy relative to the elements is 0.019 eV per atom. As for the space group: Cmmm. The calculation puts the total energy at -10.58 eV/atom.

Lattice parameters (Å, degrees): 4.6654 3.3087 7.3832 90.00 108.42 90.00
Last column: nearest neighbours and their distance in Å.
Sites, in units of the cell vectors:
1 Ta 0.3342 0.0000 0.6683  2 Ta 2.85, 6 Nb 2.86-2.88
2 Ta 0.6658 0.0000 0.3317  2 Ta 2.85, 6 Nb 2.86-2.88
3 Ta 0.5000 0.5000 0.0000  4 Ta 2.85, 4 Ti 2.86
4 Ti 0.0000 0.0000 0.0000  4 Nb 2.85, 4 Ta 2.86
5 Nb 0.1655 0.5000 0.3311  2 Ti 2.85, 6 Ta 2.86-2.88
6 Nb 0.8345 0.5000 0.6689  2 Ti 2.85, 6 Ta 2.86-2.88

(9)
The following is a DFT calculation (GGA-PBE) of a relaxed Ta2Ti5Nb5 crystal.

Output
Its energy relative to the elements is 0.019 eV per atom. As for the space group: C2/m. The calculation puts the total energy at -9.44 eV/atom.

Lattice parameters (Å, degrees): 4.6427 9.7102 5.4505 75.86 64.79 76.17
Last column: nearest neighbours and their distance in Å.
Sites, in units of the cell vectors:
1 Ta 0.8346 0.4904 0.8405  3 Nb 2.80-2.92, 2 Ta 2.83, 3 Ti 2.84-2.86
2 Ta 0.1654 0.5096 0.1595  3 Nb 2.80-2.92, 2 Ta 2.83, 3 Ti 2.84-2.86
3 Ti 0.5000 0.5000 0.5000  2 Ti 2.82, 2 Nb 2.85, 4 Ta 2.86
4 Ti 0.4135 0.2571 0.9160  3 Ti 2.82-2.88, 1 Ta 2.84, 4 Nb 2.87-2.88
5 Ti 0.3386 0.0024 0.3205  4 Nb 2.81-2.85, 4 Ti 2.86-2.92
6 Ti 0.6614 0.9976 0.6795  4 Nb 2.81-2.85, 4 Ti 2.86-2.92
7 Ti 0.5865 0.7429 0.0840  3 Ti 2.82-2.88, 1 Ta 2.84, 4 Nb 2.87-2.88
8 Nb 0.9110 0.7499 0.4280  3 Nb 2.79-2.90, 2 Ta 2.80-2.92, 3 Ti 2.82-2.88
9 Nb 0.2524 0.7561 0.7391  3 Nb 2.79-2.81, 4 Ti 2.85-2.87, 1 Ta 2.85
10 Nb 0.7476 0.2439 0.2609  3 Nb 2.79-2.81, 4 Ti 2.85-2.87, 1 Ta 2.85
11 Nb 0.0890 0.2501 0.5720  3 Nb 2.79-2.90, 2 Ta 2.80-2.92, 3 Ti 2.82-2.88
12 Nb 0.0000 0.0000 0.0000  4 Ti 2.81, 4 Nb 2.81-2.90

(10)
The following is a DFT calculation (GGA-PBE) of a relaxed Ta5Ti5Nb2 crystal.

Output
Its energy relative to the elements is 0.039 eV per atom. As for the space group: P-1. The calculation puts the total energy at -9.87 eV/atom.

Lattice parameters (Å, degrees): 2.8608 7.1550 12.5972 95.50 121.60 97.59
Last column: nearest neighbours and their distance in Å.
Sites, in units of the cell vectors:
1 Ta 0.6257 0.6730 0.3323  1 Nb 2.78, 3 Ta 2.80-2.86, 4 Ti 2.82-2.86
2 Ta 0.1445 0.6659 0.8317  4 Ta 2.80-2.87, 1 Nb 2.82, 3 Ti 2.85-2.86
3 Ta 0.8555 0.3341 0.1683  4 Ta 2.80-2.87, 1 Nb 2.82, 3 Ti 2.85-2.86
4 Ta 0.3743 0.3270 0.6677  1 Nb 2.78, 3 Ta 2.80-2.86, 4 Ti 2.82-2.86
5 Ta 0.0000 0.0000 0.0000  2 Nb 2.85, 4 Ta 2.86-2.87, 2 Ti 2.86
6 Ti 0.5000 0.0000 0.5000  2 Nb 2.83, 2 Ta 2.86, 4 Ti 2.86-2.95
7 Ti 0.4364 0.6689 0.0858  1 Nb 2.82, 4 Ta 2.85-2.86, 3 Ti 2.86-2.92
8 Ti 0.0396 0.3403 0.4149  1 Nb 2.81, 3 Ta 2.82-2.86, 5 Ti 2.86-3.09
9 Ti 0.9604 0.6597 0.5851  1 Nb 2.81, 3 Ta 2.82-2.86, 5 Ti 2.86-3.09
10 Ti 0.5636 0.3311 0.9142  1 Nb 2.82, 4 Ta 2.85-2.86, 3 Ti 2.86-2.92
11 Nb 0.7453 0.9975 0.7488  3 Ta 2.78-2.85, 3 Ti 2.81-2.83, 2 Nb 2.86
12 Nb 0.2547 0.0025 0.2512  3 Ta 2.78-2.85, 3 Ti 2.81-2.83, 2 Nb 2.86

(11)
The following is a DFT calculation (GGA-PBE) of a relaxed Ta4TiNb crystal.

Output
Its energy relative to the elements is 0.018 eV per atom. As for the space group: P-3m1. The calculation puts the total energy at -10.88 eV/atom.

Lattice parameters (Å, degrees): 4.6681 4.6660 7.4002 108.38 108.47 119.94
Last column: nearest neighbours and their distance in Å.
Sites, in units of the cell vectors:
1 Ta 0.3237 0.4901 0.6571  5 Ta 2.82-2.92, 3 Ti 2.84
2 Ta 0.6763 0.5099 0.3429  5 Ta 2.82-2.92, 3 Ti 2.84
3 Ta 0.1675 0.0006 0.8341  5 Ta 2.82-2.92, 3 Nb 2.86
4 Ta 0.8325 0.9994 0.1659  5 Ta 2.82-2.92, 3 Nb 2.86
5 Ti 0.5000 0.0000 0.5000  6 Ta 2.84, 2 Nb 2.87
6 Nb 0.0000 0.5000 0.0000  6 Ta 2.86, 2 Ti 2.87

Look up the energy relative to the elements of the ninth one.
0.019 eV per atom

What is the formula in the eighth record?
Ta3TiNb2

Among the records above, which one has the highest energy relative to the elements?
TaTi3Nb

Number 6 is which compound?
TaTi3Nb